First-principles (PBE) data for a relaxed structure of Y2CoCl, as listed in Alexandria via LeMat-Bulk.

a b c (Å): 5.1817 5.1817 5.1817
angles (deg): 135.00 110.08 87.11
Last column: nearest neighbours and their distance in Å.
Positions (direct):
Y 0.0095 0.0095 0.0000  2 Co 2.68, 2 Cl 2.78
Y 0.4905 0.4905 0.0000  2 Co 2.68, 2 Cl 2.78
Co 0.2500 0.7500 0.5000  4 Y 2.68
Cl 0.7500 0.2500 0.5000  4 Y 2.78

As for the space-group type: Immm, No. 71. For the raw total energy, the calculation gives -23.51 eV/cell.

***

First-principles (PBE) data for a relaxed structure of La2CePr3, as listed in Alexandria via LeMat-Bulk.

a b c (Å): 7.1062 9.2618 7.1539
angles (deg): 101.05 90.00 112.56
Last column: nearest neighbours and their distance in Å.
Positions (direct):
La 0.3275 0.6576 0.4142  2 La 3.58, 6 Pr 3.60-3.70, 2 Ce 3.78-3.79
La 0.3301 0.6576 0.9142  2 La 3.58, 6 Pr 3.60-3.70, 2 Ce 3.78-3.79
La 0.6699 0.3424 0.0858  2 La 3.58, 6 Pr 3.60-3.70, 2 Ce 3.78-3.79
La 0.6725 0.3424 0.5858  2 La 3.58, 6 Pr 3.60-3.70, 2 Ce 3.78-3.79
Ce 0.7404 0.0000 0.2500  7 Pr 3.21-3.58
Ce 0.2596 0.0000 0.7500  7 Pr 3.21-3.58
Pr 0.7110 0.0000 0.7500  3 Ce 3.21-3.58, 4 Pr 3.55-3.56
Pr 0.2890 0.0000 0.2500  3 Ce 3.21-3.58, 4 Pr 3.55-3.56
Pr 0.8647 0.7271 0.9321  2 Ce 3.43-3.44, 4 Pr 3.55-3.58, 4 La 3.60-3.69
Pr 0.1376 0.2729 0.5679  2 Ce 3.43-3.44, 4 Pr 3.55-3.58, 4 La 3.60-3.69
Pr 0.8624 0.7271 0.4321  2 Ce 3.43-3.44, 4 Pr 3.55-3.58, 4 La 3.60-3.69
Pr 0.1353 0.2729 0.0679  2 Ce 3.43-3.44, 4 Pr 3.55-3.58, 4 La 3.60-3.69

As for the space-group type: C2/c, No. 15. The formation energy comes out at 143 meV per atom. For the raw total energy, the calculation gives -58.54 eV/cell.

***

First-principles (PBE) data for a relaxed structure of K3BiSe3, as listed in Alexandria via LeMat-Bulk.

a b c (Å): 8.2766 8.2766 8.4598
angles (deg): 90.18 90.18 113.24
Last column: nearest neighbours and their distance in Å.
Positions (direct):
K 0.6352 0.6352 0.3711  3 Se 3.14-3.50, 1 K 3.30
K 0.1733 0.8267 0.5000  6 Se 3.32-3.57
K 0.8267 0.1733 0.5000  6 Se 3.32-3.57
K 0.2208 0.7792 0.0000  4 Se 3.37-3.63
K 0.7792 0.2208 0.0000  4 Se 3.37-3.63
K 0.3648 0.3648 0.6289  3 Se 3.14-3.50, 1 K 3.30
Bi 0.7672 0.7672 0.8723  3 Se 2.70
Bi 0.2328 0.2328 0.1277  3 Se 2.70
Se 0.9512 0.9512 0.2255  1 Bi 2.70
Se 0.8152 0.5091 0.7089  1 Bi 2.70
Se 0.5091 0.8152 0.7089  1 Bi 2.70
Se 0.1848 0.4909 0.2911  1 Bi 2.70
Se 0.4909 0.1848 0.2911  1 Bi 2.70
Se 0.0488 0.0488 0.7745  1 Bi 2.70

As for the space-group type: C2/m, No. 12. For the raw total energy, the calculation gives -48.03 eV/cell.

***

First-principles (PBE) data for a relaxed structure of RbBi3N, as listed in Alexandria via LeMat-Bulk.

a b c (Å): 5.1848 5.1848 5.1848
angles (deg): 90.00 90.00 90.00
Last column: nearest neighbours and their distance in Å.
Positions (direct):
Bi 0.0000 0.5000 0.0000  2 N 2.59
Bi 0.0000 0.0000 0.5000  2 N 2.59
Bi 0.5000 0.0000 0.0000  2 N 2.59
Rb 0.5000 0.5000 0.5000  12 Bi 3.67
N 0.0000 0.0000 0.0000  6 Bi 2.59

As for the space-group type: Pm-3m, No. 221. For the raw total energy, the calculation gives -18.57 eV/cell.

***

First-principles (PBE) data for a relaxed structure of VZn3Pt, as listed in Alexandria via LeMat-Bulk.

a b c (Å): 4.7605 4.7605 4.7605
angles (deg): 90.00 90.00 90.00
Last column: nearest neighbours and their distance in Å.
Positions (direct):
Zn 0.0000 0.5000 0.0000  2 Pt 2.38
Zn 0.0000 0.0000 0.5000  2 Pt 2.38
Zn 0.5000 0.0000 0.0000  2 Pt 2.38
Pt 0.0000 0.0000 0.0000  6 Zn 2.38
V 0.5000 0.5000 0.5000  12 Zn 3.37

As for the space-group type: Pm-3m, No. 221. The formation energy comes out at 439 meV per atom. For the raw total energy, the calculation gives -16.79 eV/cell.

***

First-principles (PBE) data for a relaxed structure of Tl5BiI8, as listed in Alexandria via LeMat-Bulk.

a b c (Å): 9.0898 9.0898 9.0898
angles (deg): 109.71 109.71 108.99
Last column: nearest neighbours and their distance in Å.
Positions (direct):
Tl 0.8731 0.2721 0.8728  6 I 3.40-3.69
Tl 0.7279 0.6008 0.6011  6 I 3.40-3.69
Tl 0.3992 0.0003 0.1272  6 I 3.40-3.69
Tl 0.5000 0.5000 0.0000  4 I 3.50
Tl 0.9997 0.1269 0.3989  6 I 3.40-3.69
Bi 0.2500 0.7500 0.5000  8 I 3.18-3.54
I 0.0296 0.7526 0.1457  1 Bi 3.18, 1 Tl 3.48
I 0.2474 0.3931 0.2770  1 Bi 3.18, 1 Tl 3.48
I 0.5975 0.8563 0.3933  4 Tl 3.40-3.69, 1 Bi 3.54
I 0.1437 0.5371 0.7413  4 Tl 3.40-3.69, 1 Bi 3.54
I 0.7958 0.4025 0.2587  4 Tl 3.40-3.69, 1 Bi 3.54
I 0.1160 0.9704 0.7230  1 Bi 3.18, 1 Tl 3.48
I 0.6069 0.8840 0.8543  1 Bi 3.18, 1 Tl 3.48
I 0.4629 0.2042 0.6067  4 Tl 3.40-3.69, 1 Bi 3.54

As for the space-group type: I-4, No. 82. For the raw total energy, the calculation gives -35.68 eV/cell.

***

First-principles (PBE) data for a relaxed structure of Ho3Ga5Se12, as listed in Alexandria via LeMat-Bulk.

a b c (Å): 13.7350 13.7350 13.7350
angles (deg): 109.47 109.47 109.47
Last column: nearest neighbours and their distance in Å.
Positions (direct):
Ho 0.7500 0.3750 0.1250  8 Se 3.01-3.06
Ho 0.8750 0.7500 0.1250  8 Se 3.01-3.06
Ho 0.3750 0.7500 0.6250  8 Se 3.01-3.06
Ho 0.2500 0.1250 0.3750  8 Se 3.01-3.06
Ho 0.8750 0.1250 0.2500  8 Se 3.01-3.06
Ho 0.3750 0.6250 0.2500  8 Se 3.01-3.06
Ho 0.6250 0.3750 0.7500  8 Se 3.01-3.06
Ho 0.1250 0.8750 0.7500  8 Se 3.01-3.06
Ho 0.7500 0.8750 0.6250  8 Se 3.01-3.06
Ho 0.6250 0.2500 0.3750  8 Se 3.01-3.06
Ho 0.1250 0.2500 0.8750  8 Se 3.01-3.06
Ho 0.2500 0.6250 0.8750  8 Se 3.01-3.06
Ga 0.1250 0.3750 0.2500  4 Se 2.43
Ga 0.0000 0.5000 0.0000  6 Se 2.61
Ga 0.0000 0.0000 0.0000  6 Se 2.61
Ga 0.3750 0.2500 0.1250  4 Se 2.43
Ga 0.5000 0.0000 0.5000  6 Se 2.61
Ga 0.5000 0.5000 0.0000  6 Se 2.61
Ga 0.1250 0.7500 0.3750  4 Se 2.43
Ga 0.7500 0.1250 0.8750  4 Se 2.43
Ga 0.7500 0.6250 0.3750  4 Se 2.43
Ga 0.3750 0.1250 0.7500  4 Se 2.43
Ga 0.6250 0.8750 0.2500  4 Se 2.43
Ga 0.5000 0.5000 0.5000  6 Se 2.61
Ga 0.5000 0.0000 0.0000  6 Se 2.61
Ga 0.0000 0.0000 0.5000  6 Se 2.61
Ga 0.2500 0.3750 0.6250  4 Se 2.43
Ga 0.2500 0.8750 0.1250  4 Se 2.43
Ga 0.0000 0.5000 0.5000  6 Se 2.61
Ga 0.8750 0.2500 0.6250  4 Se 2.43
Ga 0.6250 0.7500 0.8750  4 Se 2.43
Ga 0.8750 0.6250 0.7500  4 Se 2.43
Se 0.7115 0.1262 0.0358  2 Ga 2.43-2.61
Se 0.3243 0.5358 0.4096  2 Ga 2.43-2.61
Se 0.9642 0.3738 0.2885  2 Ga 2.43-2.61
Se 0.5358 0.2115 0.1262  2 Ga 2.43-2.61
Se 0.5853 0.7115 0.6757  2 Ga 2.43-2.61
Se 0.9642 0.5904 0.1757  2 Ga 2.43-2.61
Se 0.3243 0.7885 0.4147  2 Ga 2.43-2.61
Se 0.0904 0.9147 0.1262  2 Ga 2.43-2.61
Se 0.5904 0.9642 0.6757  2 Ga 2.43-2.61
Se 0.7115 0.5853 0.1757  2 Ga 2.43-2.61
Se 0.7885 0.4642 0.3738  2 Ga 2.43-2.61
Se 0.8243 0.9096 0.0358  2 Ga 2.43-2.61
Se 0.1262 0.7115 0.5358  2 Ga 2.43-2.61
Se 0.3738 0.4096 0.0853  2 Ga 2.43-2.61
Se 0.0853 0.9096 0.3738  2 Ga 2.43-2.61
Se 0.4147 0.1262 0.5904  2 Ga 2.43-2.61
Se 0.0853 0.1757 0.2115  2 Ga 2.43-2.61
Se 0.4642 0.6757 0.0904  2 Ga 2.43-2.61
Se 0.8243 0.9147 0.2885  2 Ga 2.43-2.61
Se 0.1262 0.4147 0.0904  2 Ga 2.43-2.61
Se 0.3738 0.9642 0.7885  2 Ga 2.43-2.61
Se 0.5904 0.6262 0.4147  2 Ga 2.43-2.61
Se 0.9096 0.8243 0.5358  2 Ga 2.43-2.61
Se 0.7885 0.3243 0.9147  2 Ga 2.43-2.61
Se 0.4096 0.3738 0.5853  2 Ga 2.43-2.61
Se 0.0904 0.1757 0.4642  2 Ga 2.43-2.61
Se 0.2115 0.6757 0.0853  2 Ga 2.43-2.61
Se 0.1757 0.0853 0.7115  2 Ga 2.43-2.61
Se 0.6262 0.0358 0.2115  2 Ga 2.43-2.61
Se 0.8738 0.5853 0.9096  2 Ga 2.43-2.61
Se 0.5358 0.3243 0.9096  2 Ga 2.43-2.61
Se 0.5853 0.8738 0.4096  2 Ga 2.43-2.61
Se 0.9147 0.8243 0.7885  2 Ga 2.43-2.61
Se 0.9147 0.0904 0.6262  2 Ga 2.43-2.61
Se 0.8738 0.2885 0.4642  2 Ga 2.43-2.61
Se 0.1757 0.0904 0.9642  2 Ga 2.43-2.61
Se 0.6262 0.5904 0.9147  2 Ga 2.43-2.61
Se 0.4096 0.0358 0.3243  2 Ga 2.43-2.61
Se 0.2885 0.4147 0.8243  2 Ga 2.43-2.61
Se 0.2115 0.5358 0.6262  2 Ga 2.43-2.61
Se 0.9096 0.0853 0.8738  2 Ga 2.43-2.61
Se 0.6757 0.2115 0.5853  2 Ga 2.43-2.61
Se 0.4642 0.7885 0.8738  2 Ga 2.43-2.61
Se 0.0358 0.4096 0.8243  2 Ga 2.43-2.61
Se 0.4147 0.2885 0.3243  2 Ga 2.43-2.61
Se 0.0358 0.6262 0.7115  2 Ga 2.43-2.61
Se 0.6757 0.4642 0.5904  2 Ga 2.43-2.61
Se 0.2885 0.8738 0.9642  2 Ga 2.43-2.61

As for the space-group type: Ia-3d, No. 230. For the raw total energy, the calculation gives -361.88 eV/cell.

***

First-principles (PBE) data for a relaxed structure of LaInGaPt3, as listed in Alexandria via LeMat-Bulk.

a b c (Å): 5.7993 5.7310 8.8912
angles (deg): 108.80 90.00 90.00
Last column: nearest neighbours and their distance in Å.
Positions (direct):
La 0.7500 0.2869 0.5737  4 Pt 2.89-3.02
La 0.2500 0.7131 0.4263  4 Pt 2.89-3.02
In 0.2500 0.3955 0.7909  5 Pt 2.67-2.70
In 0.7500 0.6045 0.2091  5 Pt 2.67-2.70
Ga 0.2500 0.0892 0.1784  5 Pt 2.49-2.53
Ga 0.7500 0.9108 0.8216  5 Pt 2.49-2.53
Pt 0.2500 0.2370 0.4740  1 Ga 2.49, 1 In 2.67
Pt 0.0000 0.2488 0.0000  2 Ga 2.53, 2 In 2.70
Pt 0.5000 0.7512 0.0000  2 Ga 2.53, 2 In 2.70
Pt 0.5000 0.2488 0.0000  2 Ga 2.53, 2 In 2.70
Pt 0.0000 0.7512 0.0000  2 Ga 2.53, 2 In 2.70
Pt 0.7500 0.7630 0.5260  1 Ga 2.49, 1 In 2.67

As for the space-group type: Cmcm, No. 63. The formation energy comes out at -694 meV per atom. For the raw total energy, the calculation gives -65.96 eV/cell.

***

First-principles (PBE) data for a relaxed structure of Nd2Dy9Y3, as listed in Alexandria via LeMat-Bulk.

a b c (Å): 6.1566 16.9316 11.9462
angles (deg): 33.01 45.92 47.37
Last column: nearest neighbours and their distance in Å.
Positions (direct):
Nd 0.6273 0.3045 0.6964  7 Dy 3.50-3.65, 1 Nd 3.55, 2 Y 3.56-3.58
Nd 0.4178 0.7010 0.2971  7 Dy 3.48-3.58, 1 Nd 3.55, 3 Y 3.58-3.60
Dy 0.0105 0.5154 0.4865  4 Dy 3.48-3.59, 4 Nd 3.48-3.65, 3 Y 3.50-3.57
Dy 0.9301 0.9074 0.7545  7 Dy 3.46-3.61, 3 Y 3.49-3.54, 1 Nd 3.56
Dy 0.0933 0.1092 0.2295  7 Dy 3.40-3.58, 3 Y 3.50-3.59, 1 Nd 3.55
Dy 0.5205 0.7067 0.9575  8 Dy 3.48-3.61, 3 Y 3.52-3.62, 1 Nd 3.57
Dy 0.4969 0.3073 0.0317  8 Dy 3.44-3.60, 2 Y 3.49-3.60, 1 Nd 3.53
Dy 0.7015 0.9124 0.4197  7 Dy 3.47-3.62, 3 Y 3.56-3.59, 1 Nd 3.58
Dy 0.3380 0.1037 0.5551  7 Dy 3.40-3.60, 3 Y 3.55-3.56, 1 Nd 3.57
Dy 0.9050 0.5081 0.8279  7 Dy 3.49-3.62, 2 Nd 3.50-3.57, 3 Y 3.53-3.57
Dy 0.1227 0.5060 0.1596  7 Dy 3.49-3.60, 2 Nd 3.49-3.50, 3 Y 3.49-3.58
Y 0.8095 0.9069 0.0914  6 Dy 3.51-3.58, 1 Y 3.51, 3 Nd 3.56-3.60
Y 0.7230 0.3026 0.3665  10 Dy 3.49-3.62, 1 Nd 3.58
Y 0.3041 0.7089 0.6266  10 Dy 3.49-3.60, 1 Y 3.51, 1 Nd 3.59

As for the space-group type: P1, No. 1. The formation energy comes out at 122 meV per atom. For the raw total energy, the calculation gives -68.64 eV/cell.

***

First-principles (PBE) data for a relaxed structure of KNpTi2O8, as listed in Alexandria via LeMat-Bulk.

a b c (Å): 5.3023 5.3018 7.4614
angles (deg): 77.26 77.26 72.66
Last column: nearest neighbours and their distance in Å.
Positions (direct):
K 0.0000 0.0000 0.5000  4 O 2.68
Np 0.0000 0.0000 0.0000  2 O 1.85
Ti 0.4635 0.4635 0.6975  4 O 1.85-1.90
Ti 0.5365 0.5365 0.3025  4 O 1.85-1.90
O 0.2472 0.7689 0.1994  1 Ti 1.85
O 0.7755 0.7746 0.0877  1 Np 1.85
O 0.7683 0.2468 0.1996  1 Ti 1.85
O 0.7528 0.2311 0.8006  1 Ti 1.85
O 0.2245 0.2254 0.9123  1 Np 1.85
O 0.2317 0.7532 0.8004  1 Ti 1.85
O 0.6473 0.6467 0.4856  2 Ti 1.86-1.90
O 0.3527 0.3533 0.5144  2 Ti 1.86-1.90

As for the space-group type: C2/m, No. 12. For the raw total energy, the calculation gives -101.39 eV/cell.

***

First-principles (PBE) data for a relaxed structure of CaNdDy2Au4, as listed in Alexandria via LeMat-Bulk.

a b c (Å): 5.1375 5.1375 8.9217
angles (deg): 73.27 73.27 60.00
Last column: nearest neighbours and their distance in Å.
Positions (direct):
Ca 0.5000 0.5000 0.5000  8 Au 3.16-3.18
Nd 0.0000 0.0000 0.0000  8 Au 3.12-3.14
Dy 0.7528 0.7528 0.7417  8 Au 3.11-3.20
Dy 0.2472 0.2472 0.2583  8 Au 3.11-3.20
Au 0.3739 0.3739 0.8782  3 Nd 3.14, 4 Dy 3.18-3.20, 1 Ca 3.18
Au 0.8765 0.8765 0.3704  4 Dy 3.11-3.12, 1 Nd 3.12, 3 Ca 3.16
Au 0.1235 0.1235 0.6296  4 Dy 3.11-3.12, 1 Nd 3.12, 3 Ca 3.16
Au 0.6261 0.6261 0.1218  3 Nd 3.14, 4 Dy 3.18-3.20, 1 Ca 3.18

As for the space-group type: R-3m, No. 166. The formation energy comes out at -810 meV per atom. For the raw total energy, the calculation gives -35.57 eV/cell.

***

| no. | total magnetic moment (μB/cell) | volume (Å³/cell) |
| --- | --- | --- |
| 1 | 0.00 | 88.4 |
| 2 | 1.24 | 425.3 |
| 3 | 0.00 | 532.5 |
| 4 | 0.00 | 139.4 |
| 5 | 3.91 | 107.9 |
| 6 | 0.00 | 578.1 |
| 7 | 0.00 | 1994.7 |
| 8 | 0.00 | 279.7 |
| 9 | 0.00 | 473.2 |
| 10 | 0.00 | 192.6 |
| 11 | 0.00 | 192.3 |